Entry 1:
This record from the Alexandria database describes a geometry-optimized Ru3PbW structure. The functional is PBE-GGA.

abc: 4.7334 4.7334 4.7334
angles: 90.00 90.00 90.00
Atoms (fractional coordinates):
Ru1 0.0000 0.0000 0.5000
Ru2 0.0000 0.5000 0.0000
Ru3 0.5000 0.0000 0.0000
Pb1 0.5000 0.5000 0.5000
W1 0.0000 0.0000 0.0000

Output
- Energy of formation from the pure elements: 1354 meV per atom
- Fermi-level density of states: 6.66 states/eV/f.u.
- Crystal system: cubic
- Total energy: -37.72 eV/cell

***

Entry 2:
This record from the Alexandria database describes a geometry-optimized RuPb2W structure. The functional is PBE-GGA.

abc: 10.8762 10.8762 10.8762
angles: 16.38 16.38 16.38
Atoms (fractional coordinates):
Ru1 0.0000 0.0000 0.0000
Pb1 0.2561 0.2561 0.2561
Pb2 0.4726 0.4726 0.4726
W1 0.7251 0.7251 0.7251

Output
- Energy of formation from the pure elements: 488 meV per atom
- Fermi-level density of states: 1.57 states/eV/f.u.
- Crystal system: trigonal
- Total energy: -27.69 eV/cell

***

Q: Which value of total energy does entry 1 give?
A: -37.72 eV/cell